[1]
The following is a PBE-GGA calculation of an optimized crystal structure of La6Sm8Tl, from the Alexandria database.

Computed properties:
As for the space group: P-3.

Cell lengths 6.6219, 9.5954, 9.5954 Å; angles 120.00, 90.00, 90.00 degrees
Atoms (fractional coordinates):
La 0.6761 0.6424 0.0899
La 0.6761 0.9101 0.5526
La 0.6761 0.4474 0.3576
La 0.3239 0.3576 0.9101
La 0.3239 0.0899 0.4474
La 0.3239 0.5526 0.6424
Sm 0.8165 0.0417 0.2638
Sm 0.8165 0.7362 0.7779
Sm 0.8165 0.2221 0.9583
Sm 0.1835 0.9583 0.7362
Sm 0.1835 0.2638 0.2221
Sm 0.1835 0.7779 0.0417
Sm 0.8518 0.3333 0.6667
Sm 0.1482 0.6667 0.3333
Tl 0.5000 0.0000 0.0000

[2]
The following is a PBE-GGA calculation of an optimized crystal structure of La2Sm2Tl, from the Alexandria database.

Computed properties:
For the distance to the lowest polymorph of the same formula, the calculation gives 0 meV per atom. As for the space group: C2/m.

Cell lengths 5.6558, 6.8657, 9.7685 Å; angles 103.99, 90.00, 114.32 degrees
Atoms (fractional coordinates):
La 0.9769 0.9539 0.6625
La 0.1609 0.3218 0.0504
La 0.0231 0.0461 0.3375
La 0.8391 0.6782 0.9496
Sm 0.3483 0.6966 0.4446
Sm 0.4799 0.9598 0.1569
Sm 0.6517 0.3034 0.5554
Sm 0.5201 0.0402 0.8431
Tl 0.7470 0.4940 0.2660
Tl 0.2530 0.5060 0.7340

[3]
The following is a PBE-GGA calculation of an optimized crystal structure of La5Sm2Tl, from the Alexandria database.

Computed properties:
For the distance to the lowest polymorph of the same formula, the calculation gives 0 meV per atom. As for the space group: Cm.

Cell lengths 7.3304, 7.3295, 6.8789 Å; angles 105.58, 105.59, 119.72 degrees
Atoms (fractional coordinates):
La 0.2395 0.3172 0.5010
La 0.3422 0.7622 0.0000
La 0.7942 0.2135 0.0000
La 0.7385 0.8162 0.4990
La 0.3266 0.2279 0.0000
Sm 0.2133 0.8046 0.4621
Sm 0.7512 0.3426 0.5379
Tl 0.8175 0.7387 0.0000

Number 1: E_form 5.7 kJ per mole of atoms, spin magnetization 0.000 μB/f.u.. Number 2: E_form -11.0 kJ per mole of atoms, spin magnetization 0.000 μB/f.u.. Number 3: E_form -9.1 kJ per mole of atoms, spin magnetization 0.001 μB/f.u..